No. 1
Here is crystalline ScMn2SnC at its relaxed geometry from Alexandria via LeMat-Bulk. Energies are from PBE.

Geometry as POSCAR:
```
ScMn2SnC
1.0
-1.5218 -0.8461 -3.7553
-3.6264 -1.0394 1.7038
-1.3964 4.2352 -0.3883
Sc C Mn Sn
1 1 2 1
Direct
0.0000 0.0000 0.5000
0.0000 0.0000 0.0000
0.0000 0.5000 0.0000
0.5000 0.0000 0.0000
0.5000 0.5000 0.5000
```

For the theoretical density, the calculation gives 6182 kg/m3. The value obtained for the total energy is -38.7 eV per formula unit. The calculation puts the formation enthalpy at 0 K at -0.16 eV/atom.

No. 2
Here is crystalline Cs2RbTeP at its relaxed geometry from Alexandria via LeMat-Bulk. Energies are from PBE.

Geometry as POSCAR:
```
Cs2RbTeP
1.0
7.2137 0.0000 0.0000
0.0000 7.2137 0.0000
0.0000 0.0000 5.4634
Cs P Te Rb
2 1 1 1
Direct
0.0000 0.5000 0.0000
0.5000 0.0000 0.0000
0.0000 0.0000 0.5000
0.5000 0.5000 0.5000
0.0000 0.0000 0.0000
```

The formation energy without anion corrections is 208 meV per atom. For the theoretical density, the calculation gives 2978 kg/m3. The value obtained for the total energy is -10.2 eV per formula unit.